# 1
Here is a geometry-optimized UHBr3 structure from Alexandria via LeMat-Bulk. Energies are from GGA-PBE.

Lattice parameters (Å, degrees): 3.941 10.231 7.030 92.36 90.00 90.00
Atoms (fractional coordinates):
U 0.250 0.723 0.051
U 0.750 0.277 0.949
H 0.750 0.277 0.668
H 0.250 0.723 0.332
Br 0.750 0.545 0.209
Br 0.250 0.250 0.250
Br 0.750 0.903 0.213
Br 0.250 0.455 0.791
Br 0.250 0.097 0.787
Br 0.750 0.750 0.750

## Properties
distance to the lowest polymorph of the same formula	8.2	kJ/mol of atoms

# 2
Here is a geometry-optimized UH2Br4 structure from Alexandria via LeMat-Bulk. Energies are from GGA-PBE.

Lattice parameters (Å, degrees): 4.247 6.781 8.938 67.58 90.00 90.00
Atoms (fractional coordinates):
U 0.000 0.929 0.000
H 0.500 0.679 0.512
H 0.500 0.178 0.488
Br 0.500 0.224 0.852
Br 0.000 0.809 0.748
Br 0.500 0.633 0.148
Br 0.000 0.048 0.252

Calculated Fermi-level density of states, 14.06, 1.78 states/eV/cell (same order as the records).
Calculated calculated total energy, -23.824, -26.601 eV per formula unit (same order as the records).